# 1
# YTcBr (PBE, relaxed)
# uncorrected formation energy = 0.78 eV/atom
data_YTcBr
_chemical_formula_sum 'Y4 Tc4 Br4'
_space_group_name_H-M_alt 'F -4 3 m'
_space_group_IT_number 216
_space_group_name_Hall 'F -4 2 3'
_cell_length_a 6.9594
_cell_length_b 6.9594
_cell_length_c 6.9594
_cell_angle_alpha 90.00
_cell_angle_beta 90.00
_cell_angle_gamma 90.00
loop_
_atom_site_label
_atom_site_type_symbol
_atom_site_fract_x
_atom_site_fract_y
_atom_site_fract_z
Y1 Y 0.0000 0.0000 0.0000
Tc1 Tc 0.2500 0.2500 0.2500
Br1 Br 0.2500 0.2500 0.7500

# 2
# YTcBr2 (PBE, relaxed)
# uncorrected formation energy = 0.30 eV/atom
data_YTcBr2
_chemical_formula_sum 'Y4 Tc4 Br8'
_space_group_name_H-M_alt 'F -4 3 m'
_space_group_IT_number 216
_space_group_name_Hall 'F -4 2 3'
_cell_length_a 7.1577
_cell_length_b 7.1577
_cell_length_c 7.1577
_cell_angle_alpha 90.00
_cell_angle_beta 90.00
_cell_angle_gamma 90.00
loop_
_atom_site_label
_atom_site_type_symbol
_atom_site_fract_x
_atom_site_fract_y
_atom_site_fract_z
Y1 Y 0.0000 0.0000 0.0000
Tc1 Tc 0.2500 0.2500 0.7500
Br1 Br 0.0000 0.0000 0.5000
Br2 Br 0.2500 0.2500 0.2500

# 3
# Y3TcBr (PBE, relaxed)
# uncorrected formation energy = 0.00 eV/atom
data_Y3TcBr
_chemical_formula_sum 'Y3 Tc1 Br1'
_space_group_name_H-M_alt 'P m -3 m'
_space_group_IT_number 221
_space_group_name_Hall '-P 4 2 3'
_cell_length_a 5.4201
_cell_length_b 5.4201
_cell_length_c 5.4201
_cell_angle_alpha 90.00
_cell_angle_beta 90.00
_cell_angle_gamma 90.00
loop_
_atom_site_label
_atom_site_type_symbol
_atom_site_fract_x
_atom_site_fract_y
_atom_site_fract_z
Y1 Y 0.0000 0.0000 0.5000
Tc1 Tc 0.0000 0.0000 0.0000
Br1 Br 0.5000 0.5000 0.5000

# 4
# YTcBr2 (PBE, relaxed)
# uncorrected formation energy = 0.02 eV/atom
data_YTcBr2
_chemical_formula_sum 'Y4 Tc4 Br8'
_space_group_name_H-M_alt 'F m -3 m'
_space_group_IT_number 225
_space_group_name_Hall '-F 4 2 3'
_cell_length_a 6.9972
_cell_length_b 6.9972
_cell_length_c 6.9972
_cell_angle_alpha 90.00
_cell_angle_beta 90.00
_cell_angle_gamma 90.00
loop_
_atom_site_label
_atom_site_type_symbol
_atom_site_fract_x
_atom_site_fract_y
_atom_site_fract_z
Y1 Y 0.0000 0.0000 0.0000
Tc1 Tc 0.0000 0.0000 0.5000
Br1 Br 0.2500 0.2500 0.2500